Na4TaN3: relaxed, GGA-PBE.

Lattice parameters (Å, degrees): 6.1428 6.1428 6.9344 99.33 99.33 65.74
Element x y z (fractional)
Na 0.0884 0.9116 0.5000
Na 0.3932 0.9561 0.8857
Na 0.4276 0.8317 0.2402
Na 0.6451 0.9512 0.5749
Na 0.8317 0.4276 0.7402
Na 0.9116 0.0884 0.0000
Na 0.9512 0.6451 0.0749
Na 0.9561 0.3932 0.3857
Ta 0.3110 0.4792 0.7334
Ta 0.4792 0.3110 0.2334
N 0.0033 0.7406 0.7611
N 0.2028 0.2424 0.1465
N 0.2424 0.2028 0.6465
N 0.4586 0.5270 0.5003
N 0.5270 0.4586 0.0003
N 0.7406 0.0033 0.2611

Calculated values
Mass density   4.47 g/cm3



NaTcN2: relaxed, GGA-PBE.

Lattice parameters (Å, degrees): 5.8082 5.8082 5.8082 128.02 128.02 76.59
Element x y z (fractional)
Na 0.0000 0.0000 0.0000
Na 0.7500 0.2500 0.5000
Tc 0.2500 0.7500 0.5000
Tc 0.5000 0.5000 0.0000
N 0.2199 0.1250 0.5949
N 0.3750 0.7801 0.9051
N 0.5301 0.6250 0.4051
N 0.8750 0.4699 0.0949

Calculated values
Mass density   4.19 g/cm3



NaZn3N: relaxed, GGA-PBE.

Lattice parameters (Å, degrees): 4.3014 4.3014 4.3014 90.00 90.00 90.00
Element x y z (fractional)
Na 0.0000 0.0000 0.0000
Zn 0.0000 0.5000 0.5000
Zn 0.5000 0.0000 0.5000
Zn 0.5000 0.5000 0.0000
N 0.5000 0.5000 0.5000

Calculated values
Mass density   4.87 g/cm3



NaZr3N5: relaxed, GGA-PBE.

Lattice parameters (Å, degrees): 5.5321 5.5321 4.5517 90.00 90.00 120.00
Element x y z (fractional)
Na 0.0000 0.0000 0.0000
Zr 0.0000 0.5000 0.5000
Zr 0.5000 0.0000 0.5000
Zr 0.5000 0.5000 0.5000
N 0.0000 0.0000 0.5000
N 0.3333 0.6667 0.1476
N 0.3333 0.6667 0.8524
N 0.6667 0.3333 0.1476
N 0.6667 0.3333 0.8524

Calculated values
Mass density   5.05 g/cm3



NbN: relaxed, GGA-PBE.

Lattice parameters (Å, degrees): 3.1357 3.1357 3.1357 60.00 60.00 60.00
Element x y z (fractional)
Nb 0.0000 0.0000 0.0000
N 0.5000 0.5000 0.5000

Calculated values
Mass density   8.14 g/cm3



NbN2: relaxed, GGA-PBE.

Lattice parameters (Å, degrees): 4.8899 4.8899 3.1303 90.00 90.00 90.00
Element x y z (fractional)
Nb 0.0000 0.0000 0.0000
Nb 0.5000 0.5000 0.5000
N 0.2005 0.2005 0.5000
N 0.2995 0.7005 0.0000
N 0.7005 0.2995 0.0000
N 0.7995 0.7995 0.5000

Calculated values
Mass density   5.37 g/cm3



NbN: relaxed, GGA-PBE.

Lattice parameters (Å, degrees): 2.9791 2.9791 11.3537 90.00 90.00 120.00
Element x y z (fractional)
Nb 0.3333 0.6667 0.1234
Nb 0.3333 0.6667 0.3766
Nb 0.6667 0.3333 0.6234
Nb 0.6667 0.3333 0.8766
N 0.0000 0.0000 0.0000
N 0.0000 0.0000 0.2500
N 0.0000 0.0000 0.5000
N 0.0000 0.0000 0.7500

Calculated values
Mass density   8.14 g/cm3



NbN: relaxed, GGA-PBE.

Lattice parameters (Å, degrees): 3.1895 3.1895 6.0480 90.00 90.00 120.00
Element x y z (fractional)
Nb 0.3333 0.6667 0.0000
Nb 0.6667 0.3333 0.5000
N 0.3333 0.6667 0.3295
N 0.6667 0.3333 0.8295

Calculated values
Mass density   6.66 g/cm3



NbN2: relaxed, GGA-PBE.

Lattice parameters (Å, degrees): 3.5623 3.5623 3.5623 60.00 60.00 60.00
Element x y z (fractional)
Nb 0.0000 0.0000 0.0000
N 0.2500 0.2500 0.2500
N 0.7500 0.7500 0.7500

Calculated values
Mass density   6.28 g/cm3



Nb2N3: relaxed, GGA-PBE.

Lattice parameters (Å, degrees): 8.2785 3.0077 8.1653 90.00 90.00 90.00
Element x y z (fractional)
Nb 0.0221 0.2500 0.1871
Nb 0.1949 0.2500 0.5040
Nb 0.3051 0.7500 0.0040
Nb 0.4779 0.7500 0.6871
Nb 0.5221 0.2500 0.3129
Nb 0.6949 0.2500 0.9960
Nb 0.8051 0.7500 0.4960
Nb 0.9779 0.7500 0.8129
N 0.0459 0.7500 0.3740
N 0.1211 0.2500 0.9520
N 0.2211 0.7500 0.7019
N 0.2789 0.2500 0.2019
N 0.3789 0.7500 0.4520
N 0.4541 0.2500 0.8740
N 0.5459 0.7500 0.1260
N 0.6211 0.2500 0.5480
N 0.7211 0.7500 0.7981
N 0.7789 0.2500 0.2981
N 0.8789 0.7500 0.0480
N 0.9541 0.2500 0.6260

Calculated values
Mass density   7.44 g/cm3



NbN2: relaxed, GGA-PBE.

Lattice parameters (Å, degrees): 5.0595 5.0766 5.3309 90.00 103.50 90.00
Element x y z (fractional)
Nb 0.2048 0.0529 0.2866
Nb 0.2048 0.4471 0.7866
Nb 0.7952 0.5529 0.2134
Nb 0.7952 0.9471 0.7134
N 0.0739 0.7454 0.5171
N 0.0739 0.7546 0.0171
N 0.4421 0.1600 0.6831
N 0.4421 0.3400 0.1831
N 0.5579 0.6600 0.8169
N 0.5579 0.8400 0.3169
N 0.9261 0.2454 0.9829
N 0.9261 0.2546 0.4829

Calculated values
Mass density   6.03 g/cm3



NbN2: relaxed, GGA-PBE.

Lattice parameters (Å, degrees): 6.2933 6.2933 6.2933 60.00 60.00 60.00
Element x y z (fractional)
Nb 0.1250 0.1250 0.1250
Nb 0.8750 0.8750 0.8750
N 0.0000 0.0000 0.0000
N 0.0000 0.0000 0.5000
N 0.0000 0.5000 0.0000
N 0.5000 0.0000 0.0000

Calculated values
Mass density   2.28 g/cm3



NbN: relaxed, GGA-PBE.

Lattice parameters (Å, degrees): 2.9913 2.9913 5.5901 90.00 90.00 120.00
Element x y z (fractional)
Nb 0.3333 0.6667 0.2500
Nb 0.6667 0.3333 0.7500
N 0.0000 0.0000 0.0000
N 0.0000 0.0000 0.5000

Calculated values
Mass density   8.20 g/cm3



NbN2: relaxed, GGA-PBE.

Lattice parameters (Å, degrees): 6.5384 6.5384 4.2086 90.00 90.00 37.55
Element x y z (fractional)
Nb 0.1314 0.1314 0.0000
Nb 0.3686 0.3686 0.5000
Nb 0.6314 0.6314 0.5000
Nb 0.8686 0.8686 0.0000
N 0.1122 0.8878 0.6121
N 0.1918 0.1918 0.5000
N 0.3082 0.3082 0.0000
N 0.3878 0.6122 0.1121
N 0.6122 0.3878 0.8879
N 0.6918 0.6918 0.0000
N 0.8082 0.8082 0.5000
N 0.8878 0.1122 0.3879

Calculated values
Mass density   7.33 g/cm3



NbN: relaxed, GGA-PBE.

Lattice parameters (Å, degrees): 2.7521 2.7521 2.7521 90.00 90.00 90.00
Element x y z (fractional)
Nb 0.0000 0.0000 0.0000
N 0.5000 0.5000 0.5000

Calculated values
Mass density   8.52 g/cm3



NbN2: relaxed, GGA-PBE.

Lattice parameters (Å, degrees): 4.3731 4.3731 4.3731 60.00 60.00 60.00
Element x y z (fractional)
Nb 0.1250 0.1250 0.1250
Nb 0.8750 0.8750 0.8750
N 0.0000 0.5000 0.5000
N 0.5000 0.0000 0.5000
N 0.5000 0.5000 0.0000
N 0.5000 0.5000 0.5000

Calculated values
Mass density   6.79 g/cm3



Nb5N: relaxed, GGA-PBE.

Lattice parameters (Å, degrees): 5.1272 5.1272 5.1205 90.00 90.00 120.00
Element x y z (fractional)
Nb 0.0000 0.5000 0.0000
Nb 0.3333 0.6667 0.5000
Nb 0.5000 0.0000 0.0000
Nb 0.5000 0.5000 0.0000
Nb 0.6667 0.3333 0.5000
N 0.0000 0.0000 0.5000

Calculated values
Mass density   6.82 g/cm3



NbN: relaxed, GGA-PBE.

Lattice parameters (Å, degrees): 2.9655 2.9655 2.8944 90.00 90.00 120.00
Element x y z (fractional)
Nb 0.0000 0.0000 0.0000
N 0.3333 0.6667 0.5000

Calculated values
Mass density   8.05 g/cm3



Nb2N: relaxed, GGA-PBE.

Lattice parameters (Å, degrees): 3.8831 3.8831 3.8831 60.00 60.00 60.00
Element x y z (fractional)
Nb 0.2500 0.2500 0.2500
Nb 0.7500 0.7500 0.7500
N 0.0000 0.0000 0.0000

Calculated values
Mass density   8.01 g/cm3



Nb2N: relaxed, GGA-PBE.

Lattice parameters (Å, degrees): 6.4875 6.4875 6.4875 60.00 60.00 60.00
Element x y z (fractional)
Nb 0.0000 0.0000 0.0000
Nb 0.0000 0.0000 0.5000
Nb 0.0000 0.5000 0.0000
Nb 0.5000 0.0000 0.0000
N 0.1250 0.1250 0.1250
N 0.8750 0.8750 0.8750

Calculated values
Mass density   3.44 g/cm3



no.,energy (eV per atom)
1,-5.64
2,-7.20
3,-2.19
4,-7.83
5,-10.08
6,-8.97
7,-10.28
8,-9.90
9,-8.92
10,-9.87
11,-9.12
12,-8.89
13,-10.25
14,-9.26
15,-9.64
16,-7.06
17,-8.27
18,-10.29
19,-9.33
20,-8.17